(1)
# LaPtPb2

Crystalline LaPtPb2 at its relaxed geometry (PBE, Alexandria).

Calculated values
For the energy above the most stable polymorph in this dataset, the calculation gives 0.0713 eV per atom. The density of states at the Fermi level comes out at 0.483 states/eV per atom. The total energy comes out at -5.0853 eV per atom. As for the magnetization: 0.00 Bohr magnetons per cell.

Unit cell a=3.683 b=3.683 c=8.227 alpha=90.00 beta=90.00 gamma=89.96
Fractional coordinates of all 4 atoms:
Pb 0.500 0.500 0.279
Pb 0.000 0.000 0.014
Pt 0.000 0.000 0.514
La 0.500 0.500 0.694

---

(2)
# La3PtPb2

Crystalline La3PtPb2 at its relaxed geometry (PBE, Alexandria).

Calculated values
For the energy above the most stable polymorph in this dataset, the calculation gives 0.0000 eV per atom. The density of states at the Fermi level comes out at 0.790 states/eV per atom. The total energy comes out at -5.4795 eV per atom. As for the magnetization: 1.56 Bohr magnetons per cell.

Unit cell a=4.742 b=12.264 c=12.966 alpha=90.00 beta=90.00 gamma=90.00
Fractional coordinates of all 24 atoms:
Pt 0.250 0.129 0.120
Pt 0.750 0.629 0.380
Pt 0.750 0.871 0.880
Pt 0.250 0.371 0.620
La 0.750 0.548 0.618
La 0.250 0.048 0.882
La 0.250 0.696 0.240
La 0.750 0.196 0.260
La 0.250 0.452 0.382
La 0.750 0.871 0.444
La 0.750 0.952 0.118
La 0.250 0.804 0.740
La 0.750 0.304 0.760
La 0.250 0.371 0.056
La 0.750 0.629 0.944
La 0.250 0.129 0.556
Pb 0.250 0.996 0.310
Pb 0.750 0.004 0.690
Pb 0.750 0.302 0.497
Pb 0.750 0.496 0.190
Pb 0.250 0.802 0.003
Pb 0.250 0.504 0.810
Pb 0.250 0.698 0.503
Pb 0.750 0.198 0.997

---

(3)
# LaPtPb2

Crystalline LaPtPb2 at its relaxed geometry (PBE, Alexandria).

Calculated values
For the energy above the most stable polymorph in this dataset, the calculation gives 0.0682 eV per atom. The density of states at the Fermi level comes out at 0.464 states/eV per atom. The total energy comes out at -5.0884 eV per atom. As for the magnetization: 0.00 Bohr magnetons per cell.

Unit cell a=6.183 b=6.183 c=6.183 alpha=44.72 beta=44.72 gamma=44.72
Fractional coordinates of all 4 atoms:
Pb 0.976 0.976 0.976
Pb 0.524 0.524 0.524
Pt 0.250 0.250 0.250
La 0.750 0.750 0.750

---

(4)
# LaPtPb2

Crystalline LaPtPb2 at its relaxed geometry (PBE, Alexandria).

Calculated values
For the energy above the most stable polymorph in this dataset, the calculation gives 0.2990 eV per atom. The density of states at the Fermi level comes out at 0.880 states/eV per atom. The total energy comes out at -4.8576 eV per atom. As for the magnetization: 0.00 Bohr magnetons per cell.

Unit cell a=3.619 b=3.618 c=7.849 alpha=90.00 beta=90.00 gamma=90.00
Fractional coordinates of all 4 atoms:
Pb 0.000 0.000 0.046
Pb 0.000 0.000 0.454
Pt 0.500 0.500 0.250
La 0.500 0.500 0.750

---

(5)
# La8PtPb2

Crystalline La8PtPb2 at its relaxed geometry (PBE, Alexandria).

Calculated values
The density of states at the Fermi level comes out at 0.936 states/eV per atom. The total energy comes out at -5.2636 eV per atom. As for the magnetization: 0.00 Bohr magnetons per cell.

Unit cell a=5.217 b=7.193 c=10.421 alpha=104.89 beta=104.49 gamma=90.00
Fractional coordinates of all 11 atoms:
La 0.412 0.535 0.823
La 0.989 0.219 0.977
La 0.646 0.003 0.293
La 0.011 0.781 0.023
La 0.354 0.997 0.707
La 0.588 0.465 0.177
La 0.785 0.678 0.570
La 0.215 0.322 0.430
Pb 0.180 0.753 0.359
Pb 0.820 0.247 0.641
Pt 0.500 0.000 0.000

---

(6)
# LaPtRhPb

Crystalline LaPtRhPb at its relaxed geometry (PBE, Alexandria).

Calculated values
The density of states at the Fermi level comes out at 0.619 states/eV per atom. The total energy comes out at -6.0429 eV per atom. As for the magnetization: 0.00 Bohr magnetons per cell.

Unit cell a=4.973 b=4.973 c=4.973 alpha=60.00 beta=60.00 gamma=60.00
Fractional coordinates of all 4 atoms:
Pt 0.750 0.750 0.750
Rh 0.250 0.250 0.250
La 0.000 0.000 0.000
Pb 0.500 0.500 0.500

---

(7)
# LaSbPtPb2

Crystalline LaSbPtPb2 at its relaxed geometry (PBE, Alexandria).

Calculated values
The density of states at the Fermi level comes out at 0.793 states/eV per atom. The formation energy from raw total energies is 0.17 eV per atom. The total energy comes out at -4.3321 eV per atom. As for the magnetization: 0.00 Bohr magnetons per cell.

Unit cell a=5.856 b=4.876 c=5.856 alpha=90.00 beta=90.00 gamma=90.00
Fractional coordinates of all 5 atoms:
La 0.500 0.500 0.500
Pb 0.500 0.000 0.000
Pb 0.000 0.000 0.500
Sb 0.000 0.000 0.000
Pt 0.000 0.500 0.000

---

(8)
# La3Si2Pt9Pb

Crystalline La3Si2Pt9Pb at its relaxed geometry (PBE, Alexandria).

Calculated values
The density of states at the Fermi level comes out at 0.559 states/eV per atom. The formation energy from raw total energies is -0.62 eV per atom. The total energy comes out at -6.1967 eV per atom. As for the magnetization: 0.00 Bohr magnetons per cell.

Unit cell a=7.486 b=7.486 c=6.805 alpha=90.00 beta=90.00 gamma=120.00
Fractional coordinates of all 15 atoms:
Si 0.667 0.333 0.872
Si 0.333 0.667 0.128
Pt 0.818 0.182 0.687
Pt 0.500 0.000 0.000
Pt 0.000 0.500 0.000
Pt 0.818 0.636 0.687
Pt 0.500 0.500 0.000
Pt 0.182 0.818 0.313
Pt 0.636 0.818 0.313
Pt 0.364 0.182 0.687
Pt 0.182 0.364 0.313
La 0.667 0.333 0.345
La 0.000 0.000 0.000
La 0.333 0.667 0.655
Pb 0.000 0.000 0.500

---

(9)
# La2SiPt6Pb

Crystalline La2SiPt6Pb at its relaxed geometry (PBE, Alexandria).

Calculated values
The density of states at the Fermi level comes out at 0.673 states/eV per atom. The formation energy from raw total energies is -0.85 eV per atom. The total energy comes out at -6.3767 eV per atom. As for the magnetization: 0.00 Bohr magnetons per cell.

Unit cell a=5.615 b=8.877 c=8.734 alpha=90.00 beta=90.00 gamma=90.00
Fractional coordinates of all 20 atoms:
Pt 0.248 0.000 0.500
Pt 0.244 0.553 0.000
Pt 0.752 0.000 0.500
Pt 0.748 0.000 0.000
Pt 0.500 0.099 0.252
Pt 0.000 0.901 0.752
Pt 0.744 0.447 0.500
Pt 0.756 0.553 0.000
Pt 0.000 0.901 0.248
Pt 0.256 0.447 0.500
Pt 0.252 0.000 0.000
Pt 0.500 0.099 0.748
La 0.000 0.260 0.743
La 0.500 0.740 0.757
La 0.000 0.260 0.257
La 0.500 0.740 0.243
Pb 0.500 0.292 0.000
Pb 0.000 0.708 0.500
Si 0.500 0.229 0.500
Si 0.000 0.771 0.000

---

(10)
# La2Sn3Pt4Pb

Crystalline La2Sn3Pt4Pb at its relaxed geometry (PBE, Alexandria).

Calculated values
The density of states at the Fermi level comes out at 0.549 states/eV per atom. The total energy comes out at -5.7932 eV per atom. As for the magnetization: 0.00 Bohr magnetons per cell.

Unit cell a=4.682 b=4.682 c=10.775 alpha=90.00 beta=90.00 gamma=90.00
Fractional coordinates of all 10 atoms:
Pt 0.000 0.000 0.000
Pt 0.500 0.000 0.636
Pt 0.500 0.500 0.000
Pt 0.000 0.500 0.364
Pb 0.500 0.500 0.500
Sn 0.000 0.500 0.124
Sn 0.500 0.000 0.876
Sn 0.000 0.000 0.500
La 0.000 0.500 0.765
La 0.500 0.000 0.235

---

(11)
# SrLa2PtPb

Crystalline SrLa2PtPb at its relaxed geometry (PBE, Alexandria).

Calculated values
The density of states at the Fermi level comes out at 1.132 states/eV per atom. The total energy comes out at -4.8226 eV per atom. As for the magnetization: 0.00 Bohr magnetons per cell.

Unit cell a=5.621 b=5.621 c=5.850 alpha=90.00 beta=90.00 gamma=90.00
Fractional coordinates of all 5 atoms:
La 0.000 0.500 0.000
La 0.500 0.000 0.000
Pt 0.000 0.000 0.000
Sr 0.000 0.000 0.500
Pb 0.500 0.500 0.500

---

(12)
# LaTe2PtPb

Crystalline LaTe2PtPb at its relaxed geometry (PBE, Alexandria).

Calculated values
The density of states at the Fermi level comes out at 0.532 states/eV per atom. The formation energy from raw total energies is -0.37 eV per atom. The total energy comes out at -4.5664 eV per atom. As for the magnetization: 0.00 Bohr magnetons per cell.

Unit cell a=5.503 b=5.330 c=5.503 alpha=90.00 beta=90.00 gamma=90.00
Fractional coordinates of all 5 atoms:
Pt 0.000 0.000 0.000
Te 0.500 0.000 0.000
Te 0.000 0.000 0.500
La 0.000 0.500 0.000
Pb 0.500 0.500 0.500

---

(13)
# LaTePtPb2

Crystalline LaTePtPb2 at its relaxed geometry (PBE, Alexandria).

Calculated values
The density of states at the Fermi level comes out at 0.865 states/eV per atom. The formation energy from raw total energies is 0.53 eV per atom. The total energy comes out at -3.7719 eV per atom. As for the magnetization: 0.00 Bohr magnetons per cell.

Unit cell a=5.807 b=5.925 c=5.807 alpha=90.00 beta=90.00 gamma=90.00
Fractional coordinates of all 5 atoms:
Te 0.000 0.000 0.000
Pt 0.500 0.500 0.500
La 0.000 0.500 0.000
Pb 0.500 0.000 0.000
Pb 0.000 0.000 0.500

---

(14)
# La2PuPb9

Crystalline La2PuPb9 at its relaxed geometry (PBE, Alexandria).

Calculated values
The density of states at the Fermi level comes out at 1.313 states/eV per atom. The total energy comes out at -5.1520 eV per atom. As for the magnetization: 5.89 Bohr magnetons per cell.

Unit cell a=4.932 b=4.932 c=14.752 alpha=90.00 beta=90.00 gamma=90.00
Fractional coordinates of all 12 atoms:
Pb 0.500 0.000 0.838
Pb 0.500 0.000 0.162
Pb 0.500 0.000 0.500
Pb 0.500 0.500 0.000
Pb 0.000 0.500 0.162
Pb 0.500 0.500 0.669
Pb 0.500 0.500 0.331
Pb 0.000 0.500 0.500
Pb 0.000 0.500 0.838
La 0.000 0.000 0.669
La 0.000 0.000 0.331
Pu 0.000 0.000 0.000

---

(15)
# La2PuPb2

Crystalline La2PuPb2 at its relaxed geometry (PBE, Alexandria).

Calculated values
The density of states at the Fermi level comes out at 1.779 states/eV per atom. The total energy comes out at -6.6171 eV per atom. As for the magnetization: 12.24 Bohr magnetons per cell.

Unit cell a=6.518 b=8.604 c=8.389 alpha=120.85 beta=112.86 gamma=90.00
Fractional coordinates of all 10 atoms:
La 0.637 0.982 0.274
La 0.363 0.018 0.726
La 0.137 0.292 0.274
La 0.863 0.708 0.726
Pu 0.250 0.500 0.000
Pu 0.750 0.500 0.000
Pb 0.122 0.893 0.244
Pb 0.622 0.352 0.244
Pb 0.378 0.648 0.756
Pb 0.878 0.107 0.756

---

(16)
# LaPuPb4

Crystalline LaPuPb4 at its relaxed geometry (PBE, Alexandria).

Calculated values
The density of states at the Fermi level comes out at 2.386 states/eV per atom. The total energy comes out at -5.8093 eV per atom. As for the magnetization: 6.94 Bohr magnetons per cell.

Unit cell a=6.445 b=6.445 c=6.445 alpha=60.00 beta=60.00 gamma=60.00
Fractional coordinates of all 6 atoms:
Pu 0.250 0.250 0.250
Pb 0.625 0.125 0.625
Pb 0.625 0.625 0.625
Pb 0.125 0.625 0.625
Pb 0.625 0.625 0.125
La 0.000 0.000 0.000

---

(17)
# La5PuPb4

Crystalline La5PuPb4 at its relaxed geometry (PBE, Alexandria).

Calculated values
The density of states at the Fermi level comes out at 1.832 states/eV per atom. The total energy comes out at -5.7254 eV per atom. As for the magnetization: 6.10 Bohr magnetons per cell.

Unit cell a=5.671 b=7.439 c=11.699 alpha=129.75 beta=104.03 gamma=90.00
Fractional coordinates of all 10 atoms:
Pb 0.992 0.735 0.984
Pb 0.675 0.101 0.350
Pb 0.008 0.265 0.016
Pb 0.325 0.899 0.650
La 0.167 0.843 0.334
La 0.833 0.157 0.666
La 0.164 0.319 0.328
La 0.836 0.681 0.672
La 0.500 0.500 0.000
Pu 0.500 0.000 0.000

---

(18)
# La2PuPb3

Crystalline La2PuPb3 at its relaxed geometry (PBE, Alexandria).

Calculated values
For the energy above the most stable polymorph in this dataset, the calculation gives 0.0000 eV per atom. The density of states at the Fermi level comes out at 2.058 states/eV per atom. The total energy comes out at -6.3212 eV per atom. As for the magnetization: 5.81 Bohr magnetons per cell.

Unit cell a=3.609 b=3.609 c=13.979 alpha=90.00 beta=90.00 gamma=90.00
Fractional coordinates of all 6 atoms:
La 0.500 0.500 0.830
La 0.500 0.500 0.170
Pb 0.000 0.000 0.000
Pb 0.000 0.000 0.339
Pb 0.000 0.000 0.661
Pu 0.500 0.500 0.500

---

(19)
# LaPuPb6

Crystalline LaPuPb6 at its relaxed geometry (PBE, Alexandria).

Calculated values
The density of states at the Fermi level comes out at 1.729 states/eV per atom. The total energy comes out at -5.4978 eV per atom. As for the magnetization: 5.77 Bohr magnetons per cell.

Unit cell a=4.919 b=4.919 c=9.782 alpha=90.00 beta=90.00 gamma=90.00
Fractional coordinates of all 8 atoms:
Pb 0.000 0.500 0.256
Pb 0.500 0.000 0.256
Pb 0.500 0.000 0.744
Pb 0.500 0.500 0.000
Pb 0.500 0.500 0.500
Pb 0.000 0.500 0.744
La 0.000 0.000 0.000
Pu 0.000 0.000 0.500

---

(20)
# La2PuPb3

Crystalline La2PuPb3 at its relaxed geometry (PBE, Alexandria).

Calculated values
For the energy above the most stable polymorph in this dataset, the calculation gives 0.1564 eV per atom. The density of states at the Fermi level comes out at 2.900 states/eV per atom. The total energy comes out at -6.1648 eV per atom. As for the magnetization: 11.19 Bohr magnetons per cell.

Unit cell a=6.589 b=10.938 c=7.096 alpha=112.64 beta=117.66 gamma=90.00
Fractional coordinates of all 12 atoms:
La 0.675 0.587 0.349
La 0.325 0.413 0.651
La 0.325 0.913 0.651
La 0.675 0.087 0.349
Pb 0.846 0.423 0.693
Pb 0.154 0.077 0.307
Pb 0.846 0.923 0.693
Pb 0.154 0.577 0.307
Pb 0.500 0.750 0.000
Pb 0.500 0.250 0.000
Pu 0.000 0.750 0.000
Pu 0.000 0.250 0.000